# HoBeV

HoBeV after structural relaxation (GGA-PBE, Alexandria).

a b c (Å): 4.6602 3.2979 9.5662
angles (deg): 90.00 90.00 134.95
Last column: nearest neighbours and their distance in Å.
Element x y z (fractional)
Be 0.6944 0.3887 0.0000  8 Ho 2.91
Be 0.1945 0.3890 0.5000  8 V 2.53
V 0.6945 0.3890 0.3982  1 V 1.95
V 0.6945 0.3890 0.6018  1 V 1.95
Ho 0.1944 0.3887 0.8182  5 Be 2.91-3.04, 4 V 3.12
Ho 0.1944 0.3887 0.1818  5 Be 2.91-3.04, 4 V 3.12

Symmetry = Cmmm
M_tot = 0.00 Bohr magnetons per cell
Energy of formation from the pure elements = 205 meV per atom